Entry 1:
{"formula": "Nd5CSe5", "functional": "GGA-PBE", "state": "optimized geometry", "cell": [[6.618, -2.940, 0.000], [6.618, 2.940, 0.000], [-2.641, 0.000, 7.803]], "species": ["Nd", "Nd", "Nd", "Nd", "Nd", "C", "Se", "Se", "Se", "Se", "Se"], "frac_coords": [[0.000, 0.000, 0.000], [0.348, 0.348, 0.691], [0.352, 0.352, 0.156], [0.648, 0.648, 0.844], [0.652, 0.652, 0.309], [0.500, 0.500, 0.000], [0.166, 0.166, 0.831], [0.176, 0.176, 0.331], [0.500, 0.500, 0.500], [0.824, 0.824, 0.669], [0.834, 0.834, 0.169]], "crystal_system": "monoclinic", "formation_energy_uncorrected_ev_per_atom": -1.55, "energy_ev_per_atom": -6.135, "spacegroup": "C2/m"}

Entry 2:
{"formula": "Cr4HgAs", "functional": "GGA-PBE", "state": "optimized geometry", "cell": [[0.000, 3.488, 3.488], [3.488, 0.000, 3.488], [3.488, 3.488, 0.000]], "species": ["Cr", "Cr", "Cr", "Cr", "Hg", "As"], "frac_coords": [[0.378, 0.378, 0.378], [0.378, 0.378, 0.866], [0.378, 0.866, 0.378], [0.866, 0.378, 0.378], [0.750, 0.750, 0.750], [0.000, 0.000, 0.000]], "crystal_system": "cubic", "formation_enthalpy_0k_kj_per_mol_atoms": 57.28, "energy_ev_per_atom": -6.647, "spacegroup": "F-43m"}

Entry 3:
{"formula": "NaTcP3", "functional": "GGA-PBE", "state": "optimized geometry", "cell": [[4.593, 0.000, 0.000], [0.000, 4.593, 0.000], [0.000, 0.000, 4.593]], "species": ["Na", "Tc", "P", "P", "P"], "frac_coords": [[0.000, 0.000, 0.000], [0.500, 0.500, 0.500], [0.000, 0.000, 0.500], [0.000, 0.500, 0.000], [0.500, 0.000, 0.000]], "crystal_system": "cubic", "formation_enthalpy_0k_kj_per_mol_atoms": 193.96, "energy_ev_per_atom": -3.573, "spacegroup": "Pm-3m"}

Entry 4:
{"formula": "Mg2OsPdPb", "functional": "GGA-PBE", "state": "optimized geometry", "cell": [[5.177, 0.000, 0.000], [0.000, 5.177, 0.000], [0.000, 0.000, 5.068]], "species": ["Mg", "Mg", "Os", "Pd", "Pb"], "frac_coords": [[0.000, 0.500, 0.000], [0.500, 0.000, 0.000], [0.000, 0.000, 0.500], [0.500, 0.500, 0.500], [0.000, 0.000, 0.000]], "crystal_system": "tetragonal", "formation_enthalpy_0k_kj_per_mol_atoms": 137.80, "energy_ev_per_atom": -3.236, "spacegroup": "P4/mmm"}

Entry 5:
{"formula": "Li4Ti2Si4O13", "functional": "GGA-PBE", "state": "optimized geometry", "cell": [[14.307, 0.000, 0.000], [0.000, 5.050, 0.000], [0.000, 0.000, 14.057]], "species": ["Li", "Li", "Li", "Li", "Li", "Li", "Li", "Li", "Li", "Li", "Li", "Li", "Li", "Li", "Li", "Li", "Ti", "Ti", "Ti", "Ti", "Ti", "Ti", "Ti", "Ti", "Si", "Si", "Si", "Si", "Si", "Si", "Si", "Si", "Si", "Si", "Si", "Si", "Si", "Si", "Si", "Si", "O", "O", "O", "O", "O", "O", "O", "O", "O", "O", "O", "O", "O", "O", "O", "O", "O", "O", "O", "O", "O", "O", "O", "O", "O", "O", "O", "O", "O", "O", "O", "O", "O", "O", "O", "O", "O", "O", "O", "O", "O", "O", "O", "O", "O", "O", "O", "O", "O", "O", "O", "O"], "frac_coords": [[0.021, 0.182, 0.000], [0.122, 0.642, 0.105], [0.129, 0.684, 0.305], [0.226, 0.255, 0.385], [0.274, 0.755, 0.885], [0.371, 0.184, 0.805], [0.378, 0.142, 0.605], [0.479, 0.682, 0.500], [0.521, 0.318, 0.000], [0.622, 0.858, 0.105], [0.629, 0.816, 0.305], [0.726, 0.245, 0.385], [0.774, 0.745, 0.885], [0.871, 0.316, 0.805], [0.878, 0.358, 0.605], [0.979, 0.818, 0.500], [0.087, 0.359, 0.597], [0.162, 0.191, 0.801], [0.338, 0.691, 0.301], [0.413, 0.859, 0.097], [0.587, 0.141, 0.597], [0.662, 0.309, 0.801], [0.838, 0.809, 0.301], [0.913, 0.641, 0.097], [0.024, 0.143, 0.218], [0.054, 0.694, 0.904], [0.197, 0.857, 0.495], [0.223, 0.174, 0.180], [0.277, 0.674, 0.680], [0.303, 0.357, 0.995], [0.446, 0.194, 0.404], [0.476, 0.643, 0.718], [0.524, 0.357, 0.218], [0.554, 0.806, 0.904], [0.697, 0.643, 0.495], [0.723, 0.326, 0.180], [0.777, 0.826, 0.680], [0.803, 0.143, 0.995], [0.946, 0.306, 0.404], [0.976, 0.857, 0.718], [0.022, 0.406, 0.153], [0.025, 0.775, 0.013], [0.034, 0.212, 0.332], [0.060, 0.067, 0.700], [0.068, 0.377, 0.886], [0.105, 0.677, 0.512], [0.126, 0.982, 0.196], [0.146, 0.867, 0.878], [0.179, 0.170, 0.519], [0.188, 0.478, 0.698], [0.215, 0.267, 0.068], [0.218, 0.432, 0.249], [0.229, 0.840, 0.384], [0.271, 0.340, 0.884], [0.282, 0.932, 0.749], [0.285, 0.767, 0.568], [0.312, 0.978, 0.198], [0.321, 0.670, 0.019], [0.354, 0.367, 0.378], [0.374, 0.482, 0.696], [0.395, 0.177, 0.012], [0.432, 0.877, 0.386], [0.440, 0.567, 0.200], [0.466, 0.712, 0.832], [0.475, 0.275, 0.513], [0.478, 0.906, 0.653], [0.522, 0.094, 0.153], [0.525, 0.725, 0.013], [0.534, 0.288, 0.332], [0.560, 0.433, 0.700], [0.568, 0.123, 0.886], [0.605, 0.823, 0.512], [0.626, 0.518, 0.196], [0.646, 0.633, 0.878], [0.679, 0.330, 0.519], [0.688, 0.022, 0.698], [0.715, 0.233, 0.068], [0.718, 0.068, 0.249], [0.729, 0.660, 0.384], [0.771, 0.160, 0.884], [0.782, 0.568, 0.749], [0.785, 0.733, 0.568], [0.812, 0.522, 0.198], [0.821, 0.830, 0.019], [0.854, 0.133, 0.378], [0.874, 0.018, 0.696], [0.895, 0.323, 0.012], [0.932, 0.623, 0.386], [0.940, 0.933, 0.200], [0.966, 0.788, 0.832], [0.975, 0.225, 0.513], [0.978, 0.594, 0.653]], "crystal_system": "orthorhombic", "formation_energy_uncorrected_ev_per_atom": -2.61, "energy_ev_per_atom": -7.375, "spacegroup": "Pna2_1"}

Entry 6:
{"formula": "NaCdH3", "functional": "GGA-PBE", "state": "optimized geometry", "cell": [[5.400, 0.000, 0.000], [-0.989, 5.603, 0.000], [-1.008, -2.996, 4.761]], "species": ["Na", "Na", "Cd", "Cd", "H", "H", "H", "H", "H", "H"], "frac_coords": [[0.005, 0.331, 0.174], [0.995, 0.669, 0.826], [0.343, 0.163, 0.663], [0.657, 0.837, 0.337], [0.244, 0.084, 0.906], [0.247, 0.411, 0.590], [0.278, 0.793, 0.291], [0.722, 0.207, 0.709], [0.753, 0.589, 0.410], [0.756, 0.916, 0.094]], "crystal_system": "triclinic", "energy_ev_per_atom": -2.442, "spacegroup": "P-1"}

Entry 7:
{"formula": "Er4Sb2PS", "functional": "GGA-PBE", "state": "optimized geometry", "cell": [[7.127, 0.000, 0.000], [0.000, 4.118, 0.000], [-2.369, 0.000, 6.819]], "species": ["Er", "Er", "Er", "Er", "Sb", "Sb", "P", "S"], "frac_coords": [[0.238, 0.000, 0.225], [0.254, 0.500, 0.772], [0.746, 0.500, 0.228], [0.762, 0.000, 0.775], [0.000, 0.000, 0.500], [0.500, 0.500, 0.500], [0.000, 0.500, 0.000], [0.500, 0.000, 0.000]], "crystal_system": "monoclinic", "formation_energy_uncorrected_ev_per_atom": -1.42, "energy_ev_per_atom": -5.925, "spacegroup": "P2/m"}

Entry 8:
{"formula": "Er2Mg3Ag2", "functional": "GGA-PBE", "state": "optimized geometry", "cell": [[10.725, 0.000, 0.000], [0.000, 4.010, 0.000], [-0.816, 0.000, 7.714]], "species": ["Er", "Er", "Er", "Er", "Mg", "Mg", "Mg", "Mg", "Mg", "Mg", "Ag", "Ag", "Ag", "Ag"], "frac_coords": [[0.127, 0.000, 0.355], [0.373, 0.500, 0.645], [0.627, 0.500, 0.355], [0.873, 0.000, 0.645], [0.000, 0.500, 0.000], [0.190, 0.000, 0.869], [0.310, 0.500, 0.131], [0.500, 0.000, 0.000], [0.690, 0.500, 0.869], [0.810, 0.000, 0.131], [0.090, 0.500, 0.648], [0.410, 0.000, 0.352], [0.590, 0.000, 0.648], [0.910, 0.500, 0.352]], "crystal_system": "monoclinic", "formation_enthalpy_0k_kj_per_mol_atoms": -17.47, "energy_ev_per_atom": -2.983, "spacegroup": "C2/m"}

Entry 9:
{"formula": "LaMg2Al", "functional": "GGA-PBE", "state": "optimized geometry", "cell": [[6.580, 0.000, 0.000], [0.000, 9.573, 0.000], [0.000, 0.000, 3.320]], "species": ["La", "La", "Mg", "Mg", "Mg", "Mg", "Al", "Al"], "frac_coords": [[0.000, 0.000, 0.000], [0.500, 0.500, 0.000], [0.250, 0.250, 0.500], [0.250, 0.750, 0.500], [0.750, 0.250, 0.500], [0.750, 0.750, 0.500], [0.000, 0.500, 0.000], [0.500, 0.000, 0.000]], "crystal_system": "orthorhombic", "formation_enthalpy_0k_kj_per_mol_atoms": 5.95, "energy_ev_per_atom": -2.903, "spacegroup": "Cmmm"}

Entry 10:
{"formula": "TmScZnPb", "functional": "GGA-PBE", "state": "optimized geometry", "cell": [[7.173, 0.000, 0.000], [0.000, 7.173, 0.000], [0.000, 0.000, 7.173]], "species": ["Tm", "Tm", "Tm", "Tm", "Sc", "Sc", "Sc", "Sc", "Zn", "Zn", "Zn", "Zn", "Pb", "Pb", "Pb", "Pb"], "frac_coords": [[0.000, 0.000, 0.000], [0.000, 0.500, 0.500], [0.500, 0.000, 0.500], [0.500, 0.500, 0.000], [0.000, 0.000, 0.500], [0.000, 0.500, 0.000], [0.500, 0.000, 0.000], [0.500, 0.500, 0.500], [0.250, 0.250, 0.750], [0.250, 0.750, 0.250], [0.750, 0.250, 0.250], [0.750, 0.750, 0.750], [0.250, 0.250, 0.250], [0.250, 0.750, 0.750], [0.750, 0.250, 0.750], [0.750, 0.750, 0.250]], "crystal_system": "cubic", "formation_enthalpy_0k_kj_per_mol_atoms": -29.97, "energy_ev_per_atom": -4.257, "spacegroup": "F-43m"}

Entry 11:
{"formula": "Rb4Te2AuSe2", "functional": "GGA-PBE", "state": "optimized geometry", "cell": [[5.822, -5.094, 0.000], [5.822, 5.094, 0.000], [-0.861, 0.000, 5.694]], "species": ["Rb", "Rb", "Rb", "Rb", "Te", "Te", "Au", "Se", "Se"], "frac_coords": [[0.075, 0.682, 0.731], [0.318, 0.925, 0.269], [0.682, 0.075, 0.731], [0.925, 0.318, 0.269], [0.374, 0.374, 0.058], [0.626, 0.626, 0.942], [0.500, 0.500, 0.500], [0.147, 0.147, 0.783], [0.853, 0.853, 0.217]], "crystal_system": "monoclinic", "formation_energy_uncorrected_ev_per_atom": -0.70, "energy_ev_per_atom": -2.970, "spacegroup": "C2/m"}

Entry 12:
{"formula": "SrLaAu", "functional": "GGA-PBE", "state": "optimized geometry", "cell": [[7.488, 0.000, 0.000], [0.000, 7.488, 0.000], [0.000, 0.000, 7.488]], "species": ["Sr", "Sr", "Sr", "Sr", "La", "La", "La", "La", "Au", "Au", "Au", "Au"], "frac_coords": [[0.000, 0.000, 0.000], [0.000, 0.500, 0.500], [0.500, 0.000, 0.500], [0.500, 0.500, 0.000], [0.000, 0.000, 0.500], [0.000, 0.500, 0.000], [0.500, 0.000, 0.000], [0.500, 0.500, 0.500], [0.250, 0.250, 0.750], [0.250, 0.750, 0.250], [0.750, 0.250, 0.250], [0.750, 0.750, 0.750]], "crystal_system": "cubic", "formation_enthalpy_0k_kj_per_mol_atoms": -39.45, "energy_ev_per_atom": -3.704, "spacegroup": "F-43m"}

Entry 13:
{"formula": "VGeP", "functional": "GGA-PBE", "state": "optimized geometry", "cell": [[4.527, 0.000, 0.000], [0.000, 7.919, 0.000], [0.000, 0.000, 4.549]], "species": ["V", "V", "V", "V", "Ge", "Ge", "Ge", "Ge", "P", "P", "P", "P"], "frac_coords": [[0.000, 0.000, 0.000], [0.000, 0.500, 0.500], [0.500, 0.000, 0.500], [0.500, 0.500, 0.000], [0.000, 0.163, 0.500], [0.000, 0.837, 0.500], [0.500, 0.337, 0.500], [0.500, 0.663, 0.500], [0.000, 0.345, 0.000], [0.000, 0.655, 0.000], [0.500, 0.155, 0.000], [0.500, 0.845, 0.000]], "crystal_system": "orthorhombic", "formation_enthalpy_0k_kj_per_mol_atoms": -26.79, "energy_ev_per_atom": -6.660, "spacegroup": "Cmmm"}

Entry 14:
{"formula": "GePd3O", "functional": "GGA-PBE", "state": "optimized geometry", "cell": [[4.255, 0.000, 0.000], [0.000, 4.255, 0.000], [0.000, 0.000, 4.255]], "species": ["Ge", "Pd", "Pd", "Pd", "O"], "frac_coords": [[0.000, 0.000, 0.000], [0.000, 0.500, 0.500], [0.500, 0.000, 0.500], [0.500, 0.500, 0.000], [0.500, 0.500, 0.500]], "crystal_system": "cubic", "formation_energy_uncorrected_ev_per_atom": 0.02, "energy_ev_per_atom": -5.013, "spacegroup": "Pm-3m"}

Entry 15:
{"formula": "ThScPa", "functional": "GGA-PBE", "state": "optimized geometry", "cell": [[3.312, 0.000, 0.000], [0.000, 3.312, 0.000], [0.000, 0.000, 14.851]], "species": ["Th", "Th", "Sc", "Sc", "Pa", "Pa"], "frac_coords": [[0.000, 0.000, 0.000], [0.500, 0.500, 0.500], [0.000, 0.000, 0.325], [0.500, 0.500, 0.825], [0.000, 0.000, 0.667], [0.500, 0.500, 0.167]], "crystal_system": "tetragonal", "formation_enthalpy_0k_kj_per_mol_atoms": 12.15, "energy_ev_per_atom": -7.623, "spacegroup": "I4mm"}

Entry 16:
{"formula": "AcPmRu2O8", "functional": "GGA-PBE", "state": "optimized geometry", "cell": [[5.895, 0.000, 0.000], [-2.948, 5.105, 0.000], [0.000, 0.000, 7.443]], "species": ["Ac", "Pm", "Ru", "Ru", "O", "O", "O", "O", "O", "O", "O", "O"], "frac_coords": [[0.000, 0.000, 0.000], [0.000, 0.000, 0.500], [0.333, 0.667, 0.796], [0.667, 0.333, 0.204], [0.158, 0.319, 0.724], [0.160, 0.842, 0.724], [0.319, 0.160, 0.276], [0.333, 0.667, 0.038], [0.667, 0.333, 0.962], [0.681, 0.840, 0.724], [0.840, 0.158, 0.276], [0.842, 0.681, 0.276]], "crystal_system": "trigonal", "formation_energy_uncorrected_ev_per_atom": -1.73, "energy_ev_per_atom": -7.316, "spacegroup": "P-3"}

Entry 17:
{"formula": "Ti6In2Hg", "functional": "GGA-PBE", "state": "optimized geometry", "cell": [[-2.475, 2.543, 7.089], [2.475, -2.543, 7.089], [2.475, 2.543, -7.089]], "species": ["Ti", "Ti", "Ti", "Ti", "Ti", "Ti", "In", "In", "Hg"], "frac_coords": [[0.054, 0.806, 0.248], [0.246, 0.000, 0.246], [0.442, 0.194, 0.248], [0.558, 0.806, 0.752], [0.754, 0.000, 0.754], [0.946, 0.194, 0.752], [0.116, 0.616, 0.500], [0.884, 0.384, 0.500], [0.500, 0.500, 0.000]], "crystal_system": "orthorhombic", "formation_enthalpy_0k_kj_per_mol_atoms": 31.58, "energy_ev_per_atom": -5.578, "spacegroup": "Immm"}

Entry 18:
{"formula": "LaGdP", "functional": "GGA-PBE", "state": "optimized geometry", "cell": [[4.004, 0.000, 0.000], [-2.002, 3.468, 0.000], [0.000, 0.000, 6.719]], "species": ["La", "Gd", "P"], "frac_coords": [[0.000, 0.000, 0.000], [0.333, 0.667, 0.490], [0.667, 0.333, 0.260]], "crystal_system": "trigonal", "formation_enthalpy_0k_kj_per_mol_atoms": -93.76, "energy_ev_per_atom": -9.111, "spacegroup": "P3m1"}

Entry 19:
{"formula": "Nd4Sm3Tm2", "functional": "GGA-PBE", "state": "optimized geometry", "cell": [[3.626, 0.000, 0.000], [-1.813, 3.140, 0.000], [0.000, 0.000, 26.927]], "species": ["Nd", "Nd", "Nd", "Nd", "Sm", "Sm", "Sm", "Tm", "Tm"], "frac_coords": [[0.000, 0.000, 0.000], [0.000, 0.000, 0.221], [0.333, 0.667, 0.333], [0.333, 0.667, 0.557], [0.000, 0.000, 0.445], [0.333, 0.667, 0.108], [0.333, 0.667, 0.770], [0.000, 0.000, 0.663], [0.000, 0.000, 0.873]], "crystal_system": "trigonal", "formation_enthalpy_0k_kj_per_mol_atoms": 6.71, "energy_ev_per_atom": -4.616, "spacegroup": "P3m1"}

Entry 20:
{"formula": "KMn", "functional": "GGA-PBE", "state": "optimized geometry", "cell": [[3.695, 0.000, 0.000], [-1.848, 3.200, 0.000], [0.000, 0.000, 29.964]], "species": ["K", "K", "K", "K", "K", "K", "Mn", "Mn", "Mn", "Mn", "Mn", "Mn"], "frac_coords": [[0.000, 0.000, 0.093], [0.000, 0.000, 0.907], [0.333, 0.667, 0.574], [0.333, 0.667, 0.760], [0.667, 0.333, 0.240], [0.667, 0.333, 0.426], [0.000, 0.000, 0.331], [0.000, 0.000, 0.669], [0.333, 0.667, 0.336], [0.333, 0.667, 0.997], [0.667, 0.333, 0.003], [0.667, 0.333, 0.664]], "crystal_system": "trigonal", "formation_enthalpy_0k_kj_per_mol_atoms": 89.94, "energy_ev_per_atom": -4.201, "spacegroup": "R-3m"}